Computed, not measured: a crystal of MgTePtSe2 relaxed with PBEsol at the meta-GGA SCAN level of DFT.

Geometry as extended XYZ:
```
5
Lattice="-1.5206 4.5206 -0.9343 -4.3994 -1.1213 1.7345 1.3961 1.3867 4.4376" Properties=species:S:1:pos:R:3 pbc="T T T"
Mg 0.0000 0.0000 0.0000
Te -2.2619 2.3930 2.6189
Se -2.1997 -0.5607 0.8673
Se -0.7603 2.2603 -0.4671
Pt 0.6981 0.6934 2.2188
```

Summary:
As for the space-group type: P4/mmm, No. 123. The raw formation energy comes out at 12.5 kcal/mol of atoms. Its spin magnetization is 0.0000 μB per atom.